# MnHg3Cl2F6

MnHg3Cl2F6 after structural relaxation (GGA+U, the Alexandria database).

## Properties
As for the space group: C2/m (12). The value obtained for the energy is -3.414 eV/atom. Its density of states at the Fermi level is 0.03 states/eV/f.u.

a = 5.2152 Å, b = 6.8315 Å, c = 7.1724 Å
α = 118.44°, β = 84.92°, γ = 90.00°
Last column: magnetic moment on the atom in μB.
Atoms (fractional coordinates):
Cl1 0.1741 0.6944 0.3887  0.01
Cl2 0.8259 0.3056 0.6113  0.01
F1 0.2826 0.6893 0.8664  0.01
F2 0.6904 0.8460 0.6919  0.01
F3 0.2826 0.1771 0.8664  0.01
F4 0.7174 0.3107 0.1336  0.01
F5 0.7174 0.8229 0.1336  0.01
F6 0.3096 0.1540 0.3081  0.01
Hg1 0.5000 0.5000 0.5000  0.01
Hg2 0.0000 0.5000 0.0000  0.01
Hg3 0.5000 0.0000 0.5000  0.01
Mn1 0.5000 0.0000 0.0000  4.68